Record 1
The following is a PBE calculation of a relaxed Sr5BiO8 crystal, from the Alexandria database.

Computed properties:
total moment = 2.15 Bohr magnetons per cell
formation energy without anion corrections = -2.084 eV/atom
electronic total energy = -5.80 eV/atom
DOS(E_F) = 11.22 states/eV/cell

Cell: 7.4877 7.4877 7.6933 Å, 90.00 90.00 90.00°
Space group I-4 (No. 82)
One atom of each set of equivalent atoms:
Sr: 0.0000 0.0000 0.0000 x2
Sr: 0.1280 0.2550 0.3761 x8
Bi: 0.0000 0.5000 0.7500 x2
O: 0.0598 0.2148 0.7005 x8
O: 0.0689 0.3294 0.0473 x8


Record 2
The following is a PBE calculation of a relaxed BeSbAs2 crystal, from the Alexandria database.

Computed properties:
total moment = 0.00 Bohr magnetons per cell
ΔE to the lowest computed polymorph = 4.778 kcal/mol of atoms
formation energy without anion corrections = 0.236 eV/atom
electronic total energy = -4.05 eV/atom
DOS(E_F) = 1.44 states/eV/cell

Cell: 3.0609 3.0609 8.8463 Å, 90.00 90.00 90.00°
Space group P4mm (No. 99)
One atom of each set of equivalent atoms:
Be: 0.0000 0.0000 0.0000 x1
Sb: 0.5000 0.5000 0.4270 x1
As: 0.0000 0.0000 0.7487 x1
As: 0.5000 0.5000 0.1180 x1


Record 3
The following is a PBE calculation of a relaxed SeBr2 crystal, from the Alexandria database.

Computed properties:
total moment = 0.00 Bohr magnetons per cell
ΔE to the lowest computed polymorph = 8.000 kcal/mol of atoms
formation energy without anion corrections = 0.339 eV/atom
electronic total energy = -1.94 eV/atom
DOS(E_F) = 11.34 states/eV/cell

Cell: 3.5705 27.2653 4.0398 Å, 90.00 90.00 90.00°
Space group Cmcm (No. 63)
One atom of each set of equivalent atoms:
Se: 0.0000 0.1277 0.2500 x4
Br: 0.0000 0.1865 0.7500 x4
Br: 0.0000 0.4281 0.2500 x4


Record 4
The following is a PBE calculation of a relaxed Ni2PtBr crystal, from the Alexandria database.

Computed properties:
total moment = 2.26 Bohr magnetons per cell
ΔE to the lowest computed polymorph = 3.862 kcal/mol of atoms
formation energy without anion corrections = 0.376 eV/atom
electronic total energy = -4.44 eV/atom
DOS(E_F) = 4.19 states/eV/cell

Cell: 3.1287 3.1287 6.4861 Å, 90.00 90.00 90.00°
Space group P4mm (No. 99)
One atom of each set of equivalent atoms:
Ni: 0.0000 0.0000 0.0000 x1
Ni: 0.5000 0.5000 0.1905 x1
Pt: 0.0000 0.0000 0.3924 x1
Br: 0.5000 0.5000 0.7719 x1